[1]
3
Lattice="4.629 0.000 0.000 2.314 4.009 0.000 2.314 1.336 3.779" Properties=species:S:1:pos:R:3 comment="TePtSe | Alexandria | PBE | optimized geometry" dft_energy_ev_per_atom=-4.1618 space_group="F-43m, No. 216" de_polymorph_mev_per_atom=445 pbc="T T T"
Se 0.000 0.000 0.000
Pt 6.943 4.009 2.835
Te 4.629 2.672 1.890

[2]
4
Lattice="-0.424 1.892 -3.934 -3.171 -1.309 -2.733 -3.417 2.627 -0.814" Properties=species:S:1:pos:R:3 comment="Re2NiAu | Alexandria | PBE | optimized geometry" dft_energy_ev_per_atom=-7.9977 formation_energy_ev_per_atom=0.4911 space_group="F-43m, No. 216" de_polymorph_mev_per_atom=291 pbc="T T T"
Re -1.753 0.803 -1.870
Re 0.000 0.000 0.000
Ni -5.258 2.408 -5.611
Au -3.506 1.605 -3.741

[3]
8
Lattice="6.072 -0.459 -0.443 -2.685 5.465 -0.443 -1.161 -1.716 5.755" Properties=species:S:1:pos:R:3 comment="Hf6ZnIr | Alexandria | PBE | optimized geometry" dft_energy_ev_per_atom=-8.6268 formation_energy_ev_per_atom=0.1052 space_group="C2/m, No. 12" pbc="T T T"
Hf 3.459 1.241 3.658
Hf -1.233 2.050 1.210
Hf -0.135 3.672 3.658
Hf -0.019 -0.027 4.082
Hf 2.361 -0.381 1.210
Hf 2.245 3.318 0.787
Ir 1.113 1.645 2.434
Zn 0.000 0.000 0.000

- What is the formula in the third record?
  Hf6ZnIr